La8PmY6 | GGA-PBE | optimized geometry

Output
E in eV per atom: -5.371

abc: 9.5010 9.5010 6.7349
angles: 90.00 90.00 120.00
With the nearest neighbours (Å) after each atom.
Space group P-3 (No. 147)
Asymmetric unit:
La 0.0475 0.2928 0.3329  3 La 3.23-3.43, 2 Y 3.41-3.49, 1 Pm 3.42
La 0.3333 0.6667 0.3805  3 La 3.23
Pm 0.0000 0.0000 0.0000  6 La 3.42
Y 0.0991 0.4386 0.8471  1 Y 3.37, 5 La 3.41-3.72



TbTmGaCo | GGA-PBE | optimized geometry

Output
Energy above the most stable polymorph in this dataset in eV/atom: 0.000

abc: 4.2136 3.8774 10.4796
angles: 90.00 90.00 90.00
With the nearest neighbours (Å) after each atom.
Space group Amm2 (No. 38)
Asymmetric unit:
Tb 0.0000 0.0000 0.0000  3 Co 2.94-3.04, 4 Ga 2.98
Tm 0.5000 0.0000 0.7155  3 Ga 2.89-3.09, 4 Co 2.97
Ga 0.5000 0.0000 0.4205  2 Co 2.51
Co 0.0000 0.0000 0.2896  2 Ga 2.51



Nd12TlCd4O3 | GGA-PBE | optimized geometry

Output
Raw formation energy in eV/atom: -0.797

abc: 10.4462 10.4462 10.4462
angles: 90.00 90.00 90.00
With the nearest neighbours (Å) after each atom.
Space group Im-3m (No. 229)
Asymmetric unit:
Nd 0.0000 0.0000 0.2768  1 O 2.33
Nd 0.0000 0.2500 0.5000  2 O 2.61
Tl 0.0000 0.0000 0.0000  6 Nd 2.89
Cd 0.2500 0.2500 0.2500  12 Nd 3.69-3.70
O 0.0000 0.0000 0.5000  2 Nd 2.33



NbHN2 | GGA-PBE | optimized geometry

Output
Energy above the most stable polymorph in this dataset in eV/atom: 0.629

abc: 4.3248 4.3248 9.3533
angles: 90.00 90.00 90.00
With the nearest neighbours (Å) after each atom.
Space group I-42d (No. 122)
Asymmetric unit:
Nb 0.0000 0.0000 0.0000  4 N 1.96
H 0.0000 0.0000 0.5000  4 N 1.89
N 0.2341 0.2500 0.6250  2 H 1.89, 2 Nb 1.96



Y4Er6Pu | GGA-PBE | optimized geometry

Output
E in eV per atom: -5.982

abc: 3.5120 23.1147 17.1366
angles: 90.00 90.00 90.00
With the nearest neighbours (Å) after each atom.
Space group Cmcm (No. 63)
Asymmetric unit:
Y 0.0000 0.1193 0.1411  6 Er 3.46-3.69, 5 Y 3.51-3.78
Y 0.0000 0.3697 0.0536  6 Er 3.35-3.61, 2 Y 3.51
Er 0.0000 0.0000 0.0000  6 Er 3.26-3.51, 4 Y 3.61
Er 0.0000 0.2570 0.2500  2 Pu 3.36, 6 Er 3.39-3.51, 2 Y 3.69
Er 0.0000 0.2594 0.5824  6 Er 3.35-3.51, 5 Y 3.45-3.50
Er 0.0000 0.4913 0.1600  3 Er 3.09-3.26, 3 Y 3.35-3.46
Pu 0.0000 0.1193 0.7500  6 Er 3.36-3.47, 2 Pu 3.51



Ce4PuOs | GGA-PBE | optimized geometry

Output
E in eV per atom: -8.241

abc: 7.0308 8.4318 12.0630
angles: 90.00 122.48 90.00
With the nearest neighbours (Å) after each atom.
Space group P2_1/c (No. 14)
Asymmetric unit:
Ce 0.0035 0.1234 0.3773  1 Os 2.68, 1 Pu 2.81
Ce 0.1369 0.2064 0.1596  1 Pu 2.68
Ce 0.3986 0.6716 0.8945  1 Os 2.59
Ce 0.4246 0.5824 0.6154  1 Pu 2.67
Pu 0.1137 0.0545 0.8900  3 Ce 2.67-2.81
Os 0.3610 0.5560 0.1140  2 Ce 2.59-2.68



Li2AcPm2Tl2 | GGA-PBE | optimized geometry

Output
E in eV per atom: -3.376

abc: 4.9792 4.9792 28.4667
angles: 90.00 90.00 120.00
With the nearest neighbours (Å) after each atom.
Space group R-3m (No. 166, hexagonal axes)
Asymmetric unit:
Li 0.0000 0.0000 0.0883  3 Tl 2.87
Ac 0.0000 0.0000 0.5000  6 Tl 3.62, 6 Li 3.64, 2 Pm 3.69
Pm 0.0000 0.0000 0.3703  3 Li 3.22, 4 Tl 3.24-3.59, 3 Pm 3.56
Tl 0.0000 0.0000 0.2442  3 Li 2.87



MgAsSBr2 | GGA-PBE | optimized geometry

Output
Raw formation energy in eV/atom: 0.310
Energy above the most stable polymorph in this dataset in eV/atom: 0.088

abc: 5.2000 5.2000 4.9437
angles: 90.00 90.00 90.00
With the nearest neighbours (Å) after each atom.
Space group P4/mmm (No. 123)
Asymmetric unit:
Mg 0.0000 0.0000 0.0000  8 Br 3.59, 4 As 3.68
As 0.5000 0.5000 0.0000  2 S 2.47
S 0.5000 0.5000 0.5000  2 As 2.47, 4 Br 2.60
Br 0.0000 0.5000 0.5000  2 S 2.60



LaDyHoTm3 | GGA-PBE | optimized geometry

Output
E in eV per atom: -4.465

abc: 5.7591 11.6105 11.4800
angles: 90.00 90.00 90.00
With the nearest neighbours (Å) after each atom.
Space group Cmcm (No. 63)
Asymmetric unit:
La 0.0000 0.0159 0.2500  6 Tm 3.33-3.54, 3 Dy 3.60-3.63
Dy 0.0000 0.3259 0.2500  4 Tm 3.46-3.48, 2 Ho 3.51, 3 La 3.60-3.63
Ho 0.0000 0.5000 0.0000  8 Tm 3.42-3.77, 2 Dy 3.51
Tm 0.0000 0.1757 0.5122  3 Tm 3.33-3.37, 1 Dy 3.48, 2 La 3.52-3.54, 2 Ho 3.53
Tm 0.0000 0.3396 0.7500  2 Tm 3.33, 2 La 3.33, 2 Ho 3.42, 2 Dy 3.46



YHo6Hg2 | GGA-PBE | optimized geometry

Output
E in eV per atom: -4.048

abc: 12.5357 3.7131 11.7794
angles: 90.00 108.97 90.00
With the nearest neighbours (Å) after each atom.
Space group C2/m (No. 12)
Asymmetric unit:
Y 0.0000 0.0000 0.0000  4 Hg 3.14
Ho 0.0149 0.0000 0.3377  2 Hg 3.16, 7 Ho 3.48-3.54
Ho 0.1878 0.5000 0.5839  2 Hg 3.24, 8 Ho 3.43-3.54
Ho 0.1889 0.5000 0.8760  2 Hg 3.19, 5 Ho 3.38-3.48
Hg 0.1445 0.5000 0.2085  2 Y 3.14, 6 Ho 3.16-3.24



MnSnP2Cl | GGA-PBE | optimized geometry

Output
Raw formation energy in eV/atom: 0.160
Energy above the most stable polymorph in this dataset in eV/atom: 0.000

abc: 4.3923 4.3923 5.1903
angles: 90.00 90.00 90.00
With the nearest neighbours (Å) after each atom.
Space group P4/mmm (No. 123)
Asymmetric unit:
Mn 0.0000 0.0000 0.0000  4 P 2.20
Sn 0.5000 0.5000 0.5000  4 Cl 3.11, 8 P 3.40
P 0.0000 0.5000 0.0000  2 Mn 2.20
Cl 0.0000 0.0000 0.5000  2 Mn 2.60



Rb6SeO2 | GGA-PBE | optimized geometry

Output
Raw formation energy in eV/atom: -0.950
Energy above the most stable polymorph in this dataset in eV/atom: 0.000

abc: 14.2885 5.6100 10.3227
angles: 90.00 120.49 90.00
With the nearest neighbours (Å) after each atom.
Space group C2/m (No. 12)
Asymmetric unit:
Rb 0.0193 0.0000 0.1772  2 O 2.76-2.78
Rb 0.1626 0.5000 0.6189  1 O 2.69
Rb 0.2317 0.5000 0.0943  3 O 2.84-2.92
Se 0.0000 0.0000 0.5000  6 Rb 3.45-3.48
O 0.1753 0.0000 0.0922  6 Rb 2.69-2.92



Na2Tl2Hg7 | GGA-PBE | optimized geometry

Output
Energy above the most stable polymorph in this dataset in eV/atom: 0.024

abc: 9.7990 10.4626 6.5097
angles: 90.00 112.97 90.00
With the nearest neighbours (Å) after each atom.
Space group C2/m (No. 12)
Asymmetric unit:
Na 0.1457 0.0000 0.4002  8 Hg 3.10-3.44
Tl 0.0000 0.3312 0.0000  6 Hg 3.21-3.46, 1 Tl 3.53
Hg 0.0000 0.5000 0.5000  4 Hg 3.06, 2 Na 3.27
Hg 0.1716 0.2514 0.6735  4 Hg 3.06-3.24, 2 Na 3.13-3.30, 2 Tl 3.21-3.29
Hg 0.1853 0.0000 0.9498  3 Na 3.10-3.44, 4 Hg 3.16-3.47, 2 Tl 3.46



BeFeC3 | GGA-PBE | optimized geometry

Output
Energy above the most stable polymorph in this dataset in eV/atom: 0.000

abc: 3.7027 3.7027 3.7027
angles: 90.00 90.00 90.00
With the nearest neighbours (Å) after each atom.
Space group Pm-3m (No. 221)
Asymmetric unit:
Be 0.0000 0.0000 0.0000  12 C 2.62
Fe 0.5000 0.5000 0.5000  6 C 1.85
C 0.0000 0.5000 0.5000  2 Fe 1.85



NbCuSi | GGA-PBE | optimized geometry

Output
Raw formation energy in eV/atom: -0.322

abc: 3.8717 3.8717 3.3710
angles: 90.00 90.00 120.00
With the nearest neighbours (Å) after each atom.
Space group P-6m2 (No. 187)
Asymmetric unit:
Nb 0.0000 0.0000 0.0000  6 Si 2.80, 6 Cu 2.80
Cu 0.6667 0.3333 0.5000  3 Si 2.24
Si 0.3333 0.6667 0.5000  3 Cu 2.24



MgNi | GGA-PBE | optimized geometry

Output
E in eV per atom: -3.645

abc: 2.8395 2.8395 8.3038
angles: 90.00 90.00 120.00
With the nearest neighbours (Å) after each atom.
Space group P6_3/mmc (No. 194)
Asymmetric unit:
Mg 0.0000 0.0000 0.0000  6 Ni 2.65, 6 Mg 2.84
Ni 0.3333 0.6667 0.2500  6 Mg 2.65, 6 Ni 2.84



Ta2Ti2Ir | GGA-PBE | optimized geometry

Output
E in eV per atom: -10.053

abc: 3.1735 3.1735 16.4453
angles: 90.00 90.00 90.00
With the nearest neighbours (Å) after each atom.
Space group I4/mmm (No. 139)
Asymmetric unit:
Ta 0.0000 0.0000 0.1985  4 Ta 2.81, 4 Ti 2.82
Ti 0.0000 0.0000 0.4055  4 Ir 2.73, 4 Ta 2.82
Ir 0.0000 0.0000 0.0000  8 Ti 2.73



La3TbRu | GGA-PBE | optimized geometry

Output
Energy above the most stable polymorph in this dataset in eV/atom: 0.011

abc: 7.8452 6.6958 6.4883
angles: 90.00 90.00 90.00
With the nearest neighbours (Å) after each atom.
Space group Pmn2_1 (No. 31)
Asymmetric unit:
La 0.0000 0.1548 0.0000  1 Ru 2.77
La 0.2501 0.3203 0.4954  2 Ru 2.81-2.82
Tb 0.0000 0.8316 0.4953  1 Ru 2.79
Ru 0.0000 0.4954 0.2425  5 La 2.77-2.82, 1 Tb 2.79



LiTmCrC | GGA-PBE | optimized geometry

Output
E in eV per atom: -6.356

abc: 3.3113 3.3113 10.9158
angles: 90.00 90.00 90.00
With the nearest neighbours (Å) after each atom.
Space group P4/nmm (No. 129, origin choice 2)
Asymmetric unit:
Li 0.2500 0.7500 0.0000  4 Li 2.34
Tm 0.2500 0.2500 0.2716  4 C 2.61
Cr 0.2500 0.7500 0.5000  4 C 2.13, 4 Cr 2.34
C 0.2500 0.2500 0.6226  4 Cr 2.13



Pm4RuSeCl2 | GGA-PBE | optimized geometry

Output
Raw formation energy in eV/atom: -1.239

abc: 7.4148 4.0361 7.5296
angles: 90.00 107.19 90.00
With the nearest neighbours (Å) after each atom.
Space group P2/m (No. 10)
Asymmetric unit:
Pm 0.2126 0.0000 0.2174  2 Ru 2.78, 1 Se 3.00, 1 Cl 3.05
Pm 0.2183 0.5000 0.7620  1 Ru 2.75, 2 Se 2.95, 2 Cl 3.07
Ru 0.0000 0.5000 0.0000  6 Pm 2.75-2.78
Se 0.0000 0.0000 0.5000  6 Pm 2.95-3.00
Cl 0.5000 0.0000 0.0000  6 Pm 3.05-3.07
Cl 0.5000 0.5000 0.5000  6 Pm 3.23-3.27



PmTaSi2O8 | GGA-PBE | optimized geometry

Output
Raw formation energy in eV/atom: -2.879

abc: 6.8457 6.8457 6.0028
angles: 90.00 90.00 90.00
With the nearest neighbours (Å) after each atom.
Space group I-4m2 (No. 119)
Asymmetric unit:
Pm 0.0000 0.0000 0.0000  8 O 2.29-2.42
Ta 0.0000 0.5000 0.7500  8 O 2.15-2.18
Si 0.0000 0.0000 0.5000  4 O 1.66
Si 0.0000 0.5000 0.2500  4 O 1.64
O 0.0000 0.1955 0.6639  1 Si 1.66
O 0.0000 0.3308 0.0571  1 Si 1.64



Ac2Zn9Pt | GGA-PBE | optimized geometry

Output
E in eV per atom: -2.180

abc: 5.7640 5.7640 25.0980
angles: 90.00 90.00 120.00
With the nearest neighbours (Å) after each atom.
Space group R-3m (No. 166, hexagonal axes)
Asymmetric unit:
Ac 0.0000 0.0000 0.1338  12 Zn 3.20-3.46, 1 Pt 3.36
Zn 0.0000 0.0000 0.3342  6 Zn 2.57-2.58
Zn 0.0000 0.0000 0.5000  6 Zn 2.78
Zn 0.0032 0.5016 0.9218  5 Zn 2.57-2.85
Pt 0.0000 0.0000 0.0000  18 Zn 3.33-3.49, 2 Ac 3.36



Calculated volume for the records above, in order: 35.100, 21.401, 28.498, 10.934, 31.617, 25.135, 29.105, 26.736, 31.985, 28.806, 20.027, 39.614, 27.930, 10.153, 14.587, 14.495, 16.562, 34.083, 14.961, 26.909, 11.721, 20.059 Å³/atom